1.
Computed, not measured: a geometry-optimized SrU2As3 structure at the PBE-GGA level of DFT.

Properties
formation enthalpy at 0 K: -4.9 eV per formula unit
Fermi-level density of states: 22.4 states/eV per cell

a = 7.244 Å, b = 4.110 Å, c = 10.891 Å
α = 90.00°, β = 102.86°, γ = 90.00°
Element x y z (fractional)
Sr  0.031  0.250  0.335
Sr  0.969  0.750  0.665
U  0.248  0.250  0.993
U  0.485  0.250  0.675
U  0.515  0.750  0.325
U  0.752  0.750  0.007
As  0.143  0.750  0.148
As  0.289  0.750  0.510
As  0.378  0.750  0.843
As  0.622  0.250  0.157
As  0.711  0.250  0.490
As  0.857  0.250  0.852



2.
Computed, not measured: a geometry-optimized FeRhW2 structure at the PBE-GGA level of DFT.

Properties
formation enthalpy at 0 K: 0.8 eV per formula unit
Fermi-level density of states: 5.2 states/eV per cell

a = 4.374 Å, b = 4.374 Å, c = 4.374 Å
α = 60.00°, β = 60.00°, γ = 60.00°
Element x y z (fractional)
Fe  0.000  0.000  0.000
Rh  0.250  0.250  0.250
W  0.500  0.500  0.500
W  0.750  0.750  0.750



3.
Computed, not measured: a geometry-optimized Pm7Tm12Zr structure at the PBE-GGA level of DFT.

Properties
formation enthalpy at 0 K: 5.3 eV per formula unit
Fermi-level density of states: 38.5 states/eV per cell

a = 8.647 Å, b = 8.647 Å, c = 8.647 Å
α = 90.03°, β = 90.03°, γ = 90.03°
Element x y z (fractional)
Pm  0.000  0.000  0.000
Pm  0.127  0.460  0.337
Pm  0.337  0.127  0.460
Pm  0.460  0.337  0.127
Pm  0.540  0.663  0.873
Pm  0.663  0.873  0.540
Pm  0.873  0.540  0.663
Tm  0.000  0.111  0.654
Tm  0.000  0.889  0.346
Tm  0.111  0.654  0.000
Tm  0.216  0.748  0.629
Tm  0.252  0.371  0.784
Tm  0.346  0.000  0.889
Tm  0.371  0.784  0.252
Tm  0.629  0.216  0.748
Tm  0.654  0.000  0.111
Tm  0.748  0.629  0.216
Tm  0.784  0.252  0.371
Tm  0.889  0.346  0.000
Zr  0.500  0.500  0.500



4.
Computed, not measured: a geometry-optimized ThScCuIr structure at the PBE-GGA level of DFT.

Properties
formation enthalpy at 0 K: -2.1 eV per formula unit
Fermi-level density of states: 2.8 states/eV per cell

a = 4.874 Å, b = 4.874 Å, c = 4.874 Å
α = 60.00°, β = 60.00°, γ = 60.00°
Element x y z (fractional)
Th  0.000  0.000  0.000
Sc  0.500  0.500  0.500
Cu  0.750  0.750  0.750
Ir  0.250  0.250  0.250



5.
Computed, not measured: a geometry-optimized TlCl2F2 structure at the PBE-GGA level of DFT.

Properties
uncorrected formation energy: -0.63 eV per atom
Fermi-level density of states: 2.6 states/eV per cell

a = 9.080 Å, b = 9.080 Å, c = 9.080 Å
α = 157.95°, β = 157.95°, γ = 31.38°
Element x y z (fractional)
Tl  0.000  0.000  0.000
Cl  0.250  0.750  0.500
Cl  0.750  0.250  0.500
F  0.429  0.429  0.000
F  0.571  0.571  0.000



6.
Computed, not measured: a geometry-optimized DyEr6Cd2 structure at the PBE-GGA level of DFT.

Properties
formation enthalpy at 0 K: -1.1 eV per formula unit
Fermi-level density of states: 9.7 states/eV per cell

a = 6.518 Å, b = 6.518 Å, c = 11.762 Å
α = 107.91°, β = 107.91°, γ = 32.99°
Element x y z (fractional)
Dy  0.000  0.000  0.000
Er  0.014  0.014  0.340
Er  0.313  0.313  0.417
Er  0.315  0.315  0.123
Er  0.685  0.685  0.877
Er  0.687  0.687  0.583
Er  0.986  0.986  0.660
Cd  0.353  0.353  0.789
Cd  0.647  0.647  0.211



7.
Computed, not measured: a geometry-optimized CeGeS4 structure at the PBE-GGA level of DFT.

Properties
uncorrected formation energy: -0.83 eV per atom
Fermi-level density of states: 2.9 states/eV per cell

a = 5.702 Å, b = 5.702 Å, c = 5.702 Å
α = 112.79°, β = 112.79°, γ = 103.02°
Element x y z (fractional)
Ce  0.000  0.000  0.000
Ge  0.750  0.250  0.500
S  0.139  0.180  0.579
S  0.440  0.861  0.041
S  0.602  0.560  0.421
S  0.820  0.398  0.959



8.
Computed, not measured: a geometry-optimized CePuCuPd structure at the PBE-GGA level of DFT.

Properties
formation enthalpy at 0 K: -1.5 eV per formula unit
Fermi-level density of states: 4.9 states/eV per cell

a = 4.751 Å, b = 4.751 Å, c = 4.751 Å
α = 60.00°, β = 60.00°, γ = 60.00°
Element x y z (fractional)
Ce  0.000  0.000  0.000
Pu  0.250  0.250  0.250
Cu  0.500  0.500  0.500
Pd  0.750  0.750  0.750



no.,density (g/cm3),VASP energy (Ha/atom),spin magnetization (μB per atom)
1,8.28,-0.264,0.814
2,14.77,-0.376,0.743
3,8.05,-0.166,0.000
4,10.81,-0.264,0.000
5,4.93,-0.095,0.000
6,8.96,-0.143,0.000
7,4.01,-0.196,0.030
8,12.13,-0.286,1.356